This record from Alexandria describes a relaxed CsNbSe3 crystal. The functional is GGA-PBE.

Results
For the raw formation energy, the calculation gives -0.15 eV/atom. For the energy above the lowest structure with this stoichiometry, the calculation gives 406 kJ/mol of formula units.

abc: 5.3274 5.3274 6.9624
angles: 90.00 90.00 90.00
Closest atoms and distances in Å follow each position.
Space group P4mm (No. 99)
Symmetry-distinct sites (fractional):
Cs 0.0000 0.0000 0.0000 (multiplicity 1)  2 Se 3.42-3.55
Nb 0.5000 0.5000 0.3853 (multiplicity 1)  4 Se 2.68
Se 0.0000 0.0000 0.4908 (multiplicity 1)  4 Se 2.70
Se 0.0000 0.5000 0.4235 (multiplicity 2)  2 Nb 2.68, 2 Se 2.70


This record from Alexandria describes a relaxed Cs2SrNbSe4 crystal. The functional is GGA-PBE.

Results
For the raw formation energy, the calculation gives -1.14 eV/atom.

abc: 8.2834 8.2834 9.6739
angles: 90.00 90.00 90.00
Closest atoms and distances in Å follow each position.
Space group I-4 (No. 82)
Symmetry-distinct sites (fractional):
Cs 0.0000 0.0000 0.0000 (multiplicity 2)  4 Se 3.52
Cs 0.0000 0.5000 0.2500 (multiplicity 2)  8 Se 3.96-4.16
Sr 0.0000 0.0000 0.5000 (multiplicity 2)  4 Se 2.98
Nb 0.0000 0.5000 0.7500 (multiplicity 2)  4 Se 2.48
Se 0.1550 0.2939 0.6193 (multiplicity 8)  1 Nb 2.48